# Zr6Sb3Te

A geometry-optimized Zr6Sb3Te structure (PBE-GGA, Alexandria).

Summary:
**Raw total energy**: -7.142 eV/atom
**Formation energy from raw total energies**: -0.4623 eV/atom

Cell: 10.2947 13.7341 7.2319 Å, 90.00 90.00 90.00°
With the nearest neighbours (Å) after each atom.
Space group Cmc2_1 (No. 36)
Unique sites:
Zr 0.0000 0.0230 0.0000  2 Te 2.84-3.17, 4 Sb 2.93-3.04
Zr 0.0000 0.2462 0.6409  1 Te 2.87, 3 Sb 2.96, 4 Zr 3.18-3.19
Zr 0.1621 0.4395 0.5699  4 Sb 2.84-2.94, 2 Zr 3.16-3.18
Zr 0.1852 0.2564 0.9940  3 Sb 2.94-2.97, 1 Te 2.98, 2 Zr 3.16-3.19
Sb 0.0000 0.4128 0.9016  7 Zr 2.90-2.96
Sb 0.1918 0.0932 0.7312  7 Zr 2.84-3.04
Te 0.0000 0.1735 0.2694  5 Zr 2.84-3.17